{
  "formula": "CaSiAsSe2",
  "functional": "PBE",
  "state": "relaxed",
  "cell": [[5.352, 0.000, 0.000], [0.000, 5.352, 0.000], [0.000, 0.000, 5.356]],
  "species": ["Ca", "Si", "As", "Se", "Se"],
  "frac_coords": [[0.000, 0.000, 0.000], [0.500, 0.500, 0.500], [0.000, 0.000, 0.500], [0.000, 0.500, 0.000], [0.500, 0.000, 0.000]],
  "relative_energy_ev_per_atom": 0.995,
  "vol_a3_per_cell": 153.4,
  "formation_energy_uncorrected_ev_per_atom": 0.647
}

***

{
  "formula": "Rb3Bi2O4F2",
  "functional": "PBE",
  "state": "relaxed",
  "cell": [[-2.245, 2.245, 11.404], [2.245, -2.245, 11.404], [2.245, 2.245, -11.404]],
  "species": ["Rb", "Rb", "Rb", "Bi", "Bi", "O", "O", "O", "O", "F", "F"],
  "frac_coords": [[0.000, 0.000, 0.000], [0.181, 0.181, 0.000], [0.819, 0.819, 0.000], [0.405, 0.405, 0.000], [0.595, 0.595, 0.000], [0.092, 0.592, 0.500], [0.408, 0.908, 0.500], [0.592, 0.092, 0.500], [0.908, 0.408, 0.500], [0.307, 0.307, 0.000], [0.693, 0.693, 0.000]],
  "vol_a3_per_cell": 230.0,
  "formation_energy_uncorrected_ev_per_atom": -1.637
}

***

{
  "formula": "GaSn2SeF",
  "functional": "PBE",
  "state": "relaxed",
  "cell": [[5.409, 0.000, 0.000], [0.000, 5.409, 0.000], [0.000, 0.000, 4.015]],
  "species": ["Ga", "Sn", "Sn", "Se", "F"],
  "frac_coords": [[0.000, 0.000, 0.000], [0.000, 0.500, 0.000], [0.500, 0.000, 0.000], [0.500, 0.500, 0.500], [0.000, 0.000, 0.500]],
  "vol_a3_per_cell": 117.5,
  "formation_energy_uncorrected_ev_per_atom": -0.555
}